Material: SmDy2Ho7
Method: DFT, GGA-PBE
State: optimized geometry

The value obtained for the formation enthalpy at 0 K is 17 meV/atom. The total magnetization comes out at 0.00 μB per formula unit. As for the polymorph energy (0 for the lowest one): 0 meV per atom. The total energy comes out at -4.580 eV per atom.

abc: 6.1145 7.0743 7.8996
angles: 77.04 75.07 73.30
Closest atoms and distances in Å follow each position.
Positions (direct):
Sm  0.0000  0.0000  0.0000  10 Ho 3.53-3.54, 2 Dy 3.54
Dy  0.2005  0.7995  0.5995  10 Ho 3.53-3.54, 1 Dy 3.54, 1 Sm 3.54
Dy  0.7995  0.2005  0.4005  10 Ho 3.53-3.54, 1 Dy 3.54, 1 Sm 3.54
Ho  0.0000  0.5000  0.0000  8 Ho 3.53-3.54, 2 Dy 3.53, 2 Sm 3.54
Ho  0.1998  0.3006  0.5997  7 Ho 3.52-3.54, 4 Dy 3.53-3.54, 1 Sm 3.54
Ho  0.4001  0.1002  0.2006  3 Dy 3.53-3.54, 7 Ho 3.53-3.55, 2 Sm 3.53
Ho  0.4006  0.5993  0.2006  9 Ho 3.52-3.54, 2 Dy 3.53, 1 Sm 3.54
Ho  0.5994  0.4007  0.7994  9 Ho 3.52-3.54, 2 Dy 3.53, 1 Sm 3.54
Ho  0.5999  0.8998  0.7994  3 Dy 3.53-3.54, 7 Ho 3.53-3.55, 2 Sm 3.53
Ho  0.8002  0.6994  0.4003  7 Ho 3.52-3.54, 4 Dy 3.53-3.54, 1 Sm 3.54